No. 1
Entry from Alexandria via LeMat-Bulk: a relaxed KCo2Cl crystal (GGA-PBE).

Values from the calculation:
The uncorrected formation energy comes out at 286 kJ/mol of formula units. Its total magnetization is 4.05 μB per formula unit.

abc: 2.800 5.570 6.192
angles: 90.00 90.00 90.00
Space group Pmmm (No. 47)
Symmetry-distinct sites (fractional):
K 0.000 0.000 0.000 x1
Co 0.500 0.188 0.500 x2
Cl 0.000 0.500 0.000 x1

=====

No. 2
Entry from Alexandria via LeMat-Bulk: a relaxed KCo2Cl crystal (GGA-PBE).

Values from the calculation:
The uncorrected formation energy comes out at 145 kJ/mol of formula units. Its total magnetization is 4.09 μB per formula unit.

abc: 3.397 6.599 4.618
angles: 90.00 90.78 90.00
Space group P2/m (No. 10)
Symmetry-distinct sites (fractional):
K 0.000 0.000 0.000 x1
Co 0.255 0.500 0.152 x2
Cl 0.500 0.000 0.500 x1